# NaNd8Tc2 (PBE-GGA, optimized geometry)
data_NaNd8Tc2
_chemical_formula_sum 'Na2 Nd16 Tc4'
_space_group_name_H-M_alt 'C 1 2/m 1'
_space_group_IT_number 12
_cell_length_a 15.812
_cell_length_b 6.962
_cell_length_c 6.497
_cell_angle_alpha 90.00
_cell_angle_beta 95.93
_cell_angle_gamma 90.00
loop_
_space_group_symop_operation_xyz
'x,y,z'
'-x,-y,-z'
'-x,y,-z'
'x,-y,z'
'x+1/2,y+1/2,z'
'-x+1/2,-y+1/2,-z'
'-x+1/2,y+1/2,-z'
'x+1/2,-y+1/2,z'
loop_
_atom_site_label
_atom_site_type_symbol
_atom_site_fract_x
_atom_site_fract_y
_atom_site_fract_z
_atom_site_occupancy
Na1 Na 0.000 0.000 0.000 1
Nd1 Nd 0.075 0.500 0.836 1
Nd2 Nd 0.131 0.248 0.388 1
Nd3 Nd 0.209 0.000 0.879 1
Tc1 Tc 0.227 0.500 0.686 1
# * ΔH_f (0 K): 106 meV per atom
# * V: 32.34 Å³ per atom